Record 1
Mg4Cd7Ga | PBE | optimized geometry

The energy relative to the elements is 0.016 eV/atom.

The space group is P-1 (No. 2) and the conventional cell measures 5.393, 6.138 and 9.555 Å, with angles of 84.74, 75.65 and 65.83 degrees. The inequivalent atoms are Mg at (0.132, 0.092, 0.235), Mg at (0.333, 0.368, 0.698), Cd at (0.000, 0.500, 0.000), Cd at (0.079, 0.712, 0.451), Cd at (0.281, 0.987, 0.917), Cd at (0.468, 0.814, 0.616) and Ga at (0.500, 0.500, 0.000).

***

Record 2
MgCd4Ga2 | PBE | optimized geometry

The energy relative to the elements is -0.002 eV/atom.

The space group is Cmmm (No. 65) and the conventional cell measures 4.929, 19.406 and 3.135 Å, with angles of 90.00, 90.00 and 90.00 degrees. The inequivalent atoms are Mg at (0.000, 0.000, 0.000), Cd at (0.000, 0.146, 0.500), Cd at (0.000, 0.294, 0.000) and Ga at (0.000, 0.432, 0.500).

***

Record 3
MgCd2Ga | PBE | optimized geometry

The calculation puts the energy above the most stable polymorph in this dataset at 56.5 meV per atom. The energy relative to the elements is 0.001 eV/atom.

The space group is R3m (No. 160, hexagonal axes) and the conventional cell measures 4.6511, 4.6511 and 14.5044 Å, with angles of 90.00, 90.00 and 120.00 degrees. The inequivalent atoms are Mg at (0.0000, 0.0000, 0.0000), Cd at (0.0000, 0.0000, 0.5767), Cd at (0.0000, 0.0000, 0.7795) and Ga at (0.0000, 0.0000, 0.1974).

***

Record 4
Mg2Cd2Ga | PBE | optimized geometry

The calculation puts the energy above the most stable polymorph in this dataset at 0.0 meV per atom. The energy relative to the elements is -0.053 eV/atom.

The space group is Cmmm (No. 65) and the conventional cell measures 4.639, 14.706 and 3.142 Å, with angles of 90.00, 90.00 and 90.00 degrees. The inequivalent atoms are Mg at (0.000, 0.103, 0.000), Cd at (0.000, 0.307, 0.500) and Ga at (0.000, 0.500, 0.500).

***

Record 5
Mg5CdGa4 | PBE | optimized geometry

The energy relative to the elements is -0.129 eV/atom.

The space group is P4/mmm (No. 123) and the conventional cell measures 3.327, 3.327 and 17.949 Å, with angles of 90.00, 90.00 and 90.00 degrees. The inequivalent atoms are Mg at (0.000, 0.000, 0.000), Mg at (0.000, 0.000, 0.199), Mg at (0.000, 0.000, 0.393), Cd at (0.500, 0.500, 0.500), Ga at (0.500, 0.500, 0.099) and Ga at (0.500, 0.500, 0.295).

***

Record 6
Mg5Cd6Ga | PBE | optimized geometry

The energy relative to the elements is -0.076 eV/atom.

The space group is C2/m (No. 12) and the conventional cell measures 14.097, 8.591 and 4.461 Å, with angles of 90.00, 107.54 and 90.00 degrees. The inequivalent atoms are Mg at (0.000, 0.000, 0.000), Mg at (0.156, 0.500, 0.658), Mg at (0.171, 0.000, 0.670), Cd at (0.000, 0.242, 0.500), Cd at (0.168, 0.247, 0.167) and Ga at (0.000, 0.500, 0.000).

***

Record 7
MgCd2Ga | PBE | optimized geometry

The calculation puts the energy above the most stable polymorph in this dataset at 80.7 meV per atom. The energy relative to the elements is 0.025 eV/atom.

The space group is Fm-3m (No. 225) and the conventional cell measures 7.035, 7.035 and 7.035 Å, with angles of 90.00, 90.00 and 90.00 degrees. The inequivalent atoms are Mg at (0.000, 0.000, 0.000), Cd at (0.250, 0.250, 0.250) and Ga at (0.000, 0.000, 0.500).

***

Record 8
Mg8CdGa2 | PBE | optimized geometry

The calculation puts the energy above the most stable polymorph in this dataset at 0.0 meV per atom. The energy relative to the elements is -0.076 eV/atom.

The space group is Immm (No. 71) and the conventional cell measures 4.645, 7.328 and 13.836 Å, with angles of 90.00, 90.00 and 90.00 degrees. The inequivalent atoms are Mg at (0.000, 0.000, 0.157), Mg at (0.000, 0.221, 0.342), Mg at (0.000, 0.295, 0.000), Cd at (0.000, 0.500, 0.500) and Ga at (0.000, 0.500, 0.184).

***

Record 9
Mg2CdGa | PBE | optimized geometry

The energy relative to the elements is -0.109 eV/atom.

The space group is P4/mmm (No. 123) and the conventional cell measures 4.403, 4.403 and 4.214 Å, with angles of 90.00, 90.00 and 90.00 degrees. The inequivalent atoms are Mg at (0.000, 0.500, 0.000), Cd at (0.000, 0.000, 0.500) and Ga at (0.500, 0.500, 0.500).

***

Record 10
Mg2CdGa9 | PBE | optimized geometry

The energy relative to the elements is -0.040 eV/atom.

The space group is P4/mmm (No. 123) and the conventional cell measures 4.228, 4.228 and 12.779 Å, with angles of 90.00, 90.00 and 90.00 degrees. The inequivalent atoms are Mg at (0.000, 0.000, 0.160), Cd at (0.000, 0.000, 0.500), Ga at (0.000, 0.500, 0.000), Ga at (0.000, 0.500, 0.325), Ga at (0.500, 0.500, 0.160) and Ga at (0.500, 0.500, 0.500).

***

Record 11
Mg12Cd6Ga | PBE | optimized geometry

The calculation puts the energy above the most stable polymorph in this dataset at 0.0 meV per atom. The energy relative to the elements is -0.045 eV/atom.

The space group is R-3 (No. 148, hexagonal axes) and the conventional cell measures 10.5157, 10.5157 and 13.2126 Å, with angles of 90.00, 90.00 and 120.00 degrees. The inequivalent atoms are Mg at (0.0353, 0.8518, 0.3162), Mg at (0.0611, 0.2164, 0.9133), Cd at (0.0214, 0.5897, 0.2066) and Ga at (0.0000, 0.0000, 0.5000).

***

Record 12
Mg3Cd2Ga4 | PBE | optimized geometry

The energy relative to the elements is -0.071 eV/atom.

The space group is C2/c (No. 15) and the conventional cell measures 13.957, 10.144 and 5.222 Å, with angles of 90.00, 100.23 and 90.00 degrees. The inequivalent atoms are Mg at (0.000, 0.140, 0.250), Mg at (0.161, 0.379, 0.096), Cd at (0.116, 0.118, 0.802), Ga at (0.051, 0.380, 0.541) and Ga at (0.235, 0.134, 0.356).

***

Please write out number 3 again, unchanged.
MgCd2Ga | PBE | optimized geometry

The calculation puts the energy above the most stable polymorph in this dataset at 56.5 meV per atom. The energy relative to the elements is 0.001 eV/atom.

The space group is R3m (No. 160, hexagonal axes) and the conventional cell measures 4.6511, 4.6511 and 14.5044 Å, with angles of 90.00, 90.00 and 120.00 degrees. The inequivalent atoms are Mg at (0.0000, 0.0000, 0.0000), Cd at (0.0000, 0.0000, 0.5767), Cd at (0.0000, 0.0000, 0.7795) and Ga at (0.0000, 0.0000, 0.1974).

***

Please write out number 3 again, unchanged.
MgCd2Ga | PBE | optimized geometry

The calculation puts the energy above the most stable polymorph in this dataset at 56.5 meV per atom. The energy relative to the elements is 0.001 eV/atom.

The space group is R3m (No. 160, hexagonal axes) and the conventional cell measures 4.6511, 4.6511 and 14.5044 Å, with angles of 90.00, 90.00 and 120.00 degrees. The inequivalent atoms are Mg at (0.0000, 0.0000, 0.0000), Cd at (0.0000, 0.0000, 0.5767), Cd at (0.0000, 0.0000, 0.7795) and Ga at (0.0000, 0.0000, 0.1974).